DFT (PBE) results for a relaxed In2BiRu crystal.

Cell and atoms, written as POSCAR:
```
In2BiRu
1.0
-4.624 4.624 2.583
4.624 -4.624 2.583
4.624 4.624 -2.583
In Bi Ru
4 2 2
Direct
0.015 0.125 0.390 In
0.375 0.985 0.110 In
0.735 0.625 0.610 In
0.875 0.265 0.890 In
0.250 0.750 0.500 Bi
0.500 0.500 0.000 Bi
0.000 0.000 0.000 Ru
0.750 0.250 0.500 Ru
```

Results
Space group   I-42d, No. 122
E_tot   -34.4 eV/cell
Calculated volume   221 Å³/cell